Entry 1:
A plane-wave DFT calculation with GGA-PBE was carried out for KLaCoSe4 after structural relaxation.

Cell and atoms, written as CIF:
```
data_KLaCoSe4
_chemical_formula_sum 'K2 La2 Co2 Se8'
_space_group_name_H-M_alt 'P 1 21/m 1'
_space_group_IT_number 11
_cell_length_a 6.3780
_cell_length_b 6.5641
_cell_length_c 9.5858
_cell_angle_alpha 90.00
_cell_angle_beta 109.32
_cell_angle_gamma 90.00
loop_
_space_group_symop_operation_xyz
'x,y,z'
'-x,-y,-z'
'-x,y+1/2,-z'
'x,-y+1/2,z'
loop_
_atom_site_label
_atom_site_type_symbol
_atom_site_fract_x
_atom_site_fract_y
_atom_site_fract_z
K1 K 0.2037 0.2500 0.4272
La1 La 0.3179 0.7500 0.0433
Co1 Co 0.1000 0.2500 0.8028
Se1 Se 0.2070 0.2500 0.0544
Se2 Se 0.2502 0.7500 0.3463
Se3 Se 0.3002 0.5080 0.7589
```

M_tot	1.74	μB/cell
total DFT energy (no corrections)	-68.396	eV per cell



Entry 2:
A plane-wave DFT calculation with GGA-PBE was carried out for ErFeW after structural relaxation.

Cell and atoms, written as CIF:
```
data_ErFeW
_chemical_formula_sum 'Er4 Fe4 W4'
_space_group_name_H-M_alt 'F -4 3 m'
_space_group_IT_number 216
_space_group_name_Hall 'F -4 2 3'
_cell_length_a 6.3176
_cell_length_b 6.3176
_cell_length_c 6.3176
_cell_angle_alpha 90.00
_cell_angle_beta 90.00
_cell_angle_gamma 90.00
loop_
_atom_site_label
_atom_site_type_symbol
_atom_site_fract_x
_atom_site_fract_y
_atom_site_fract_z
Er1 Er 0.0000 0.0000 0.0000
Fe1 Fe 0.2500 0.2500 0.7500
W1 W 0.2500 0.2500 0.2500
```

formation enthalpy at 0 K	1.89	eV per atom
M_tot	14.30	μB/cell



Entry 3:
A plane-wave DFT calculation with GGA-PBE was carried out for AcHoHg after structural relaxation.

Cell and atoms, written as CIF:
```
data_AcHoHg
_chemical_formula_sum 'Ac4 Ho4 Hg4'
_space_group_name_H-M_alt 'F -4 3 m'
_space_group_IT_number 216
_space_group_name_Hall 'F -4 2 3'
_cell_length_a 7.5451
_cell_length_b 7.5451
_cell_length_c 7.5451
_cell_angle_alpha 90.00
_cell_angle_beta 90.00
_cell_angle_gamma 90.00
loop_
_atom_site_label
_atom_site_type_symbol
_atom_site_fract_x
_atom_site_fract_y
_atom_site_fract_z
Ac1 Ac 0.0000 0.0000 0.0000
Ho1 Ho 0.0000 0.0000 0.5000
Hg1 Hg 0.2500 0.2500 0.2500
```

formation enthalpy at 0 K	-0.07	eV per atom
M_tot	0.15	μB/cell



Entry 4:
A plane-wave DFT calculation with GGA-PBE was carried out for SmCoGe after structural relaxation.

Cell and atoms, written as CIF:
```
data_SmCoGe
_chemical_formula_sum 'Sm4 Co4 Ge4'
_space_group_name_H-M_alt 'F -4 3 m'
_space_group_IT_number 216
_space_group_name_Hall 'F -4 2 3'
_cell_length_a 6.5796
_cell_length_b 6.5796
_cell_length_c 6.5796
_cell_angle_alpha 90.00
_cell_angle_beta 90.00
_cell_angle_gamma 90.00
loop_
_atom_site_label
_atom_site_type_symbol
_atom_site_fract_x
_atom_site_fract_y
_atom_site_fract_z
Sm1 Sm 0.0000 0.0000 0.0000
Co1 Co 0.2500 0.2500 0.7500
Ge1 Ge 0.2500 0.2500 0.2500
```

M_tot	5.95	μB/cell
total DFT energy (no corrections)	-59.878	eV per cell